No. 1
A plane-wave DFT calculation with PBE was carried out for Sc4Ni3Mo2N3 after structural relaxation.

```
24
Lattice="4.6079 -2.6256 0.0000 4.6079 2.6256 0.0000 -3.0931 0.0000 12.8192" Properties=species:S:1:pos:R:3 pbc="T T T"
Mo 3.8474 0.4372 1.6736
Mo 3.8219 0.4372 4.7359
Mo 2.3009 -0.4372 8.0832
Mo 2.2754 -0.4372 11.1455
N 2.3040 1.3128 0.0000
N 5.3317 1.2332 0.0028
N 2.3376 1.2332 6.4067
N 0.7574 -1.3128 6.4096
N 3.7852 -1.2332 6.4124
N 0.7911 -1.2332 12.8163
Ni 1.2500 -1.0374 3.2027
Ni 3.8347 -1.9012 3.2048
Ni 6.4193 -1.0374 3.2069
Ni -0.2965 1.0374 9.6123
Ni 2.2881 1.9012 9.6144
Ni 4.8728 1.0374 9.6164
Sc 0.7599 0.4718 1.1620
Sc 6.8924 0.4339 1.1674
Sc 0.7769 0.4339 5.2422
Sc 6.9095 0.4718 5.2476
Sc -0.7867 -0.4718 7.5716
Sc 5.3459 -0.4339 7.5769
Sc -0.7696 -0.4339 11.6518
Sc 5.3629 -0.4718 11.6572
```

Summary:
The calculated volume is 310.19 Å³ per cell. As for the energy: -191.2 eV for the cell shown. For the magnetization, the calculation gives 2.02 μB per cell. The space-group type is C2/c, No. 15.

***

No. 2
A plane-wave DFT calculation with PBE was carried out for NiSnMo4N2 after structural relaxation.

```
8
Lattice="2.9519 0.0000 0.0000 -1.4759 2.5564 0.0000 0.0000 0.0000 14.1283" Properties=species:S:1:pos:R:3 pbc="T T T"
Mo 0.0000 0.0000 2.3774
Mo 0.0000 1.7042 4.9941
Mo 0.0000 1.7042 9.1343
Mo 0.0000 0.0000 11.7510
N 1.4759 0.8521 3.6723
N 1.4759 0.8521 10.4560
Ni 0.0000 0.0000 7.0642
Sn 0.0000 1.7042 0.0000
```

Summary:
The calculated volume is 106.61 Å³ per cell. As for the energy: -68.6 eV for the cell shown. For the magnetization, the calculation gives 0.01 μB per cell. The space-group type is P-6m2, No. 187.

***

No. 3
A plane-wave DFT calculation with PBE was carried out for TlNiMo4N2 after structural relaxation.

```
8
Lattice="2.9039 0.0000 0.0000 -1.4520 2.5149 0.0000 0.0000 0.0000 14.6655" Properties=species:S:1:pos:R:3 pbc="T T T"
Mo 1.4520 0.8383 2.0977
Mo 0.0000 0.0000 4.8181
Mo 0.0000 0.0000 9.8474
Mo 1.4520 0.8383 12.5678
N 0.0000 1.6766 3.4774
N 0.0000 1.6766 11.1882
Ni 0.0000 0.0000 0.0000
Tl 1.4520 0.8383 7.3328
```

Summary:
The calculated volume is 107.10 Å³ per cell. As for the energy: -66.5 eV for the cell shown. For the magnetization, the calculation gives 0.00 μB per cell. The space-group type is P-6m2, No. 187.

***

No. 4
A plane-wave DFT calculation with PBE was carried out for Ni3Mo4W2N3 after structural relaxation.

```
24
Lattice="-4.7435 1.4742 0.4386 -2.7486 -1.6376 3.8249 6.3987 10.4404 5.8245" Properties=species:S:1:pos:R:3 pbc="T T T"
Mo -5.1221 0.5346 4.1496
Mo -0.1422 0.6939 1.2511
Mo -3.8659 3.9187 6.4080
Mo 1.1739 3.9847 3.6110
Mo -2.2673 6.2922 6.4770
Mo 2.7724 6.3583 3.6799
Mo -0.9512 9.5830 8.8369
Mo 4.0287 9.7424 5.9384
N -1.3743 -0.8188 1.9125
N -3.6195 0.6307 1.1179
N -1.5302 5.7629 4.6032
N 0.8276 5.9573 3.1315
N 0.4368 4.5141 5.4848
N 2.5261 9.6463 8.9701
Ni -4.5416 3.0244 4.0900
Ni -2.8967 3.6988 2.3142
Ni -0.4850 3.1769 1.8403
Ni -0.6085 7.1001 8.2477
Ni 1.8033 6.5781 7.7738
Ni 3.4482 7.2525 5.9980
W -2.4028 1.1652 3.0766
W -1.5726 3.3965 4.6379
W 0.4792 6.8805 5.4501
W 1.3094 9.1117 7.0114
```

Summary:
The calculated volume is 286.36 Å³ per cell. As for the energy: -221.3 eV for the cell shown. For the magnetization, the calculation gives 0.28 μB per cell. The space-group type is C2/c, No. 15.

***

No. 5
A plane-wave DFT calculation with PBE was carried out for Y2Ni3Mo4N3 after structural relaxation.

```
24
Lattice="4.6571 -2.7107 0.0000 4.6571 2.7107 0.0000 -3.0514 0.0000 12.9362" Properties=species:S:1:pos:R:3 pbc="T T T"
Mo 0.7949 -0.4202 1.0319
Mo 7.0205 -0.4520 1.0374
Mo 0.7681 -0.4520 5.4307
Mo 6.9936 -0.4202 5.4362
Mo -0.7307 0.4202 7.5000
Mo 5.4948 0.4520 7.5055
Mo -0.7576 0.4520 11.8988
Mo 5.4679 0.4202 11.9043
N 2.3286 -1.3553 0.0000
N 5.3919 -1.2737 0.0024
N 2.3967 -1.2737 6.4657
N 0.8029 1.3553 6.4681
N 3.8662 1.2737 6.4705
N 0.8710 1.2737 12.9338
Ni 1.6042 0.8745 3.2270
Ni 3.8943 2.2977 3.2340
Ni 6.1843 0.8745 3.2411
Ni 0.0786 -0.8745 9.6951
Ni 2.3686 -2.2977 9.7021
Ni 4.6586 -0.8745 9.7092
Y 3.9060 -0.4377 1.6153
Y 3.8826 -0.4377 4.8528
Y 2.3803 0.4377 8.0834
Y 2.3569 0.4377 11.3209
```

Summary:
The calculated volume is 326.61 Å³ per cell. As for the energy: -206.6 eV for the cell shown. For the magnetization, the calculation gives 0.79 μB per cell. The space-group type is C2/c, No. 15.

***

No. 6
A plane-wave DFT calculation with PBE was carried out for Mo2PN after structural relaxation.

```
8
Lattice="3.0133 0.0000 0.0000 -1.5067 2.6096 0.0000 0.0000 0.0000 12.4582" Properties=species:S:1:pos:R:3 pbc="T T T"
Mo 0.0000 1.7398 1.3432
Mo 0.0000 1.7398 4.8859
Mo 1.5067 0.8699 7.5723
Mo 1.5067 0.8699 11.1150
N 0.0000 0.0000 0.0000
N 0.0000 0.0000 6.2291
P 1.5067 0.8699 3.1146
P 0.0000 1.7398 9.3437
```

Summary:
The calculated volume is 97.97 Å³ per cell. As for the energy: -72.4 eV for the cell shown. For the excess energy over the best structure of this formula in the dataset, the calculation gives 0.103 eV/f.u. For the magnetization, the calculation gives 0.00 μB per cell. The space-group type is P6_3/mmc, No. 194.